The following is a GGA+U calculation of NaLiMn2Fe4P6O24 after structural relaxation, from the Alexandria database.

a b c (Å): 6.4623 8.7068 8.7789
angles (deg): 91.93 106.93 106.00
Space group P1 (No. 1)
Asymmetric unit:
Na  0.0000  0.0000  0.0000 [1 per cell]
Li  0.0439  0.4660  0.5366 [1 per cell]
Mn  0.2482  0.7672  0.2283 [1 per cell]
Mn  0.7473  0.2322  0.7768 [1 per cell]
Fe  0.1300  0.8749  0.5674 [1 per cell]
Fe  0.3660  0.4333  0.1264 [1 per cell]
Fe  0.6332  0.5668  0.8777 [1 per cell]
Fe  0.8577  0.1172  0.4296 [1 per cell]
P  0.1264  0.6349  0.8514 [1 per cell]
P  0.2454  0.2177  0.7825 [1 per cell]
P  0.3625  0.1465  0.3643 [1 per cell]
P  0.6310  0.8515  0.6372 [1 per cell]
P  0.7487  0.7838  0.2160 [1 per cell]
P  0.8735  0.3663  0.1552 [1 per cell]
O  0.0357  0.2538  0.6584 [1 per cell]
O  0.1022  0.4988  0.1685 [1 per cell]
O  0.1107  0.6744  0.6762 [1 per cell]
O  0.1677  0.7787  0.9693 [1 per cell]
O  0.1781  0.0972  0.4533 [1 per cell]
O  0.2259  0.2456  0.9520 [1 per cell]
O  0.2439  0.0417  0.7548 [1 per cell]
O  0.3046  0.0167  0.2255 [1 per cell]
O  0.3210  0.5531  0.9064 [1 per cell]
O  0.3687  0.3126  0.3069 [1 per cell]
O  0.3946  0.8352  0.5115 [1 per cell]
O  0.4674  0.3335  0.7648 [1 per cell]
O  0.5299  0.6668  0.2364 [1 per cell]
O  0.5989  0.1627  0.4902 [1 per cell]
O  0.6237  0.6852  0.6945 [1 per cell]
O  0.6770  0.4463  0.0990 [1 per cell]
O  0.6922  0.9825  0.7754 [1 per cell]
O  0.7407  0.9584  0.2404 [1 per cell]
O  0.7662  0.7554  0.0458 [1 per cell]
O  0.8134  0.9002  0.5460 [1 per cell]
O  0.8323  0.2235  0.0356 [1 per cell]
O  0.8922  0.3222  0.3294 [1 per cell]
O  0.8971  0.5029  0.8375 [1 per cell]
O  0.9651  0.7580  0.3375 [1 per cell]

volume = 11.9 Å³ per atom
E = -7.10 eV/atom
density = 3437 kg/m³
crystal system = triclinic